SrLiTl2Cd after structural relaxation, computed with PBE.

Calculated values
Energy above the lowest structure with this stoichiometry (kJ/mol of atoms): 0.0
E_form (meV per atom): -226
Magnetization (μB per atom): 0.0000
DOS(E_F) (states/eV/f.u.): 2.6
DFT total energy (eV/atom): -2.0743

Cell and atoms, written as POSCAR:
```
SrLiTl2Cd
1.0
6.521 0.000 0.000
0.000 6.125 0.000
0.000 0.000 6.978
Sr Tl Li Cd
2 4 2 2
Cartesian
5.044 4.594 3.489
1.477 1.531 3.489
1.764 4.594 5.194
4.757 1.531 5.194
1.764 4.594 1.785
4.757 1.531 1.785
0.000 3.063 0.000
0.000 0.000 0.000
2.324 1.531 0.000
4.196 4.594 0.000
```



Ta2AgRu after structural relaxation, computed with PBE.

Calculated values
Energy above the lowest structure with this stoichiometry (kJ/mol of atoms): 14.1
E_form (meV per atom): 192
Magnetization (μB per atom): 0.0017
DOS(E_F) (states/eV/f.u.): 5.9
DFT total energy (eV/atom): -8.7659

Cell and atoms, written as POSCAR:
```
Ta2AgRu
1.0
-0.942 -8.516 -4.593
0.682 -9.395 -2.403
-2.163 -9.241 -2.105
Ru Ta Ag
1 2 1
Cartesian
-1.818 -20.364 -6.826
-1.200 -13.446 -4.507
-0.012 -0.130 -0.044
-0.606 -6.788 -2.275
```



PmMg2Pb5 after structural relaxation, computed with PBE.

Calculated values
Energy above the lowest structure with this stoichiometry (kJ/mol of atoms): 0.4
E_form (meV per atom): -134
Magnetization (μB per atom): 0.0000
DOS(E_F) (states/eV/f.u.): 4.5
DFT total energy (eV/atom): -3.4439

Cell and atoms, written as POSCAR:
```
PmMg2Pb5
1.0
-1.873 -8.101 -1.533
-0.364 -1.489 8.315
-5.111 6.239 -3.405
Pm Pb Mg
2 10 4
Cartesian
-4.234 -4.074 3.384
-3.115 0.722 -0.007
-2.500 -1.707 5.159
-4.202 1.219 5.608
0.000 0.000 0.000
-4.650 -0.742 2.688
-4.849 -1.645 -1.782
-1.119 -4.795 3.391
-2.699 -2.610 0.689
-1.836 1.137 3.147
-3.146 -4.571 -2.231
-5.513 -4.489 0.229
-1.842 -7.913 4.014
-1.252 -5.404 0.190
-0.395 -1.678 2.768
-0.985 -4.187 6.592
```



Na2TbPrS4 after structural relaxation, computed with PBE.

Calculated values
Magnetization (μB per atom): 0.0000
DOS(E_F) (states/eV/f.u.): 0.0
ΔE_f (raw) (meV per atom): -1808
DFT total energy (eV/atom): -5.3776

Cell and atoms, written as POSCAR:
```
Na2TbPrS4
1.0
-4.051 -0.522 0.087
0.809 -5.567 4.300
-0.677 5.902 3.881
S Na Tb Pr
4 2 1 1
Cartesian
-1.940 0.106 6.234
0.440 -2.741 4.050
-1.979 -0.293 2.034
-0.308 3.075 4.132
0.066 0.167 4.091
-2.364 2.690 1.984
-1.621 -3.045 2.194
0.000 0.000 0.000
```